{"formula": "Ca3Zr3WN8", "functional": "GGA-PBE", "state": "optimized geometry", "e_form_raw_ev_per_atom": -1.2308, "dos_ef_per_ev_fu": 0.05, "volume_a3_per_cell": 207.2, "lattice_angstrom": [[3.252, 1.878, 5.654], [-3.252, 1.878, 5.654], [0.000, -3.756, 5.654]], "species": ["Ca", "Ca", "Ca", "Zr", "Zr", "Zr", "W", "N", "N", "N", "N", "N", "N", "N", "N"], "frac_coords": [[0.000, 0.500, 0.500], [0.500, 0.000, 0.500], [0.500, 0.500, 0.000], [0.000, 0.000, 0.500], [0.000, 0.500, 0.000], [0.500, 0.000, 0.000], [0.500, 0.500, 0.500], [0.239, 0.239, 0.239], [0.258, 0.721, 0.721], [0.279, 0.279, 0.742], [0.279, 0.742, 0.279], [0.721, 0.258, 0.721], [0.721, 0.721, 0.258], [0.742, 0.279, 0.279], [0.761, 0.761, 0.761]]}



{"formula": "Cs2Hf2Te5", "functional": "GGA-PBE", "state": "optimized geometry", "e_form_raw_ev_per_atom": -0.8573, "volume_a3_per_cell": 427.2, "lattice_angstrom": [[8.080, -2.807, 0.000], [8.080, 2.807, 0.000], [-1.692, 0.000, 9.415]], "species": ["Cs", "Cs", "Hf", "Hf", "Te", "Te", "Te", "Te", "Te"], "frac_coords": [[0.081, 0.081, 0.318], [0.919, 0.919, 0.682], [0.350, 0.350, 0.103], [0.650, 0.650, 0.897], [0.176, 0.176, 0.967], [0.377, 0.377, 0.382], [0.500, 0.500, 0.000], [0.623, 0.623, 0.618], [0.824, 0.824, 0.033]]}



{"formula": "AlAu3I", "functional": "GGA-PBE", "state": "optimized geometry", "de_polymorph_ev_per_atom": 0.5486, "e_form_raw_ev_per_atom": 0.9119, "dos_ef_per_ev_fu": 2.32, "volume_a3_per_cell": 156.7, "lattice_angstrom": [[5.391, 0.000, 0.000], [0.000, 5.391, 0.000], [0.000, 0.000, 5.391]], "species": ["Al", "Au", "Au", "Au", "I"], "frac_coords": [[0.000, 0.000, 0.000], [0.000, 0.500, 0.500], [0.500, 0.000, 0.500], [0.500, 0.500, 0.000], [0.500, 0.500, 0.500]]}



{"formula": "Ce2MnGe3", "functional": "GGA-PBE", "state": "optimized geometry", "de_polymorph_ev_per_atom": 0.1263, "e_form_ev_per_atom": -0.36, "dos_ef_per_ev_fu": 9.11, "volume_a3_per_cell": 141.7, "lattice_angstrom": [[-2.020, 2.313, 7.585], [2.020, -2.313, 7.585], [2.020, 2.313, -7.585]], "species": ["Ce", "Ce", "Mn", "Ge", "Ge", "Ge"], "frac_coords": [[0.147, 0.147, 0.000], [0.853, 0.853, 0.000], [0.500, 0.500, 0.000], [0.000, 0.500, 0.500], [0.338, 0.338, 0.000], [0.662, 0.662, 0.000]]}